# 1
! Tb2BeAl, optimized geometry, DFT PBE; values from VASP
! energy of formation from the pure elements = -152 meV per atom
! SG = P4/mmm, No. 123
! theoretical density = 6.7 Mg/m³
! VASP energy = -17.34 eV/cell
&SYSTEM
  ibrav = 0, nat = 4, ntyp = 3
/
ATOMIC_SPECIES
Be 9.01 Be.upf
Tb 158.93 Tb.upf
Al 26.98 Al.upf
ATOMIC_POSITIONS crystal
Be 0.500 0.500 0.000
Tb 0.000 0.000 0.230
Tb 0.000 0.000 0.770
Al 0.500 0.500 0.500
CELL_PARAMETERS angstrom
3.490 0.000 0.000
0.000 3.490 0.000
0.000 0.000 7.182

=====

# 2
! TbBeAl2, optimized geometry, DFT PBE; values from VASP
! energy of formation from the pure elements = 259 meV per atom
! SG = R-3m, No. 166
! theoretical density = 5.0 Mg/m³
! VASP energy = -14.81 eV/cell
&SYSTEM
  ibrav = 0, nat = 4, ntyp = 3
/
ATOMIC_SPECIES
Al 26.98 Al.upf
Tb 158.93 Tb.upf
Be 9.01 Be.upf
ATOMIC_POSITIONS crystal
Al 0.735 0.735 0.794
Tb 0.500 0.500 0.500
Be 0.000 0.000 0.000
Al 0.265 0.265 0.206
CELL_PARAMETERS angstrom
3.038 0.000 0.000
1.519 2.631 0.000
1.519 0.877 9.298

=====

# 3
! TbBeAl, optimized geometry, DFT PBE; values from VASP
! energy of formation from the pure elements = -181 meV per atom
! SG = F-43m, No. 216
! theoretical density = 5.5 Mg/m³
! VASP energy = -12.64 eV/cell
&SYSTEM
  ibrav = 0, nat = 3, ntyp = 3
/
ATOMIC_SPECIES
Be 9.01 Be.upf
Tb 158.93 Tb.upf
Al 26.98 Al.upf
ATOMIC_POSITIONS crystal
Be 0.250 0.250 0.250
Tb 0.000 0.000 0.000
Al 0.500 0.500 0.500
CELL_PARAMETERS angstrom
-3.791 -2.187 0.025
-1.717 -1.445 -3.757
-0.058 -4.288 -0.874

=====

Sequential density of states at the Fermi level output: 2.37, 2.63, 1.15 states/eV/f.u.